## a
GaP2WO | GGA+U | relaxed

Lattice parameters (Å, degrees): 4.8650 4.8650 3.8347 90.00 90.00 90.00
Last column: nearest neighbours and their distance in Å.
Space group P4/mmm (No. 123)
One atom of each set of equivalent atoms:
Ga 0.0000 0.0000 0.0000 (multiplicity 1)  8 P 3.10, 4 O 3.44
P 0.0000 0.5000 0.5000 (multiplicity 2)  2 W 2.43
W 0.5000 0.5000 0.5000 (multiplicity 1)  2 O 1.92
O 0.5000 0.5000 0.0000 (multiplicity 1)  2 W 1.92

DOS(E_F) = 2.0 states/eV/f.u.

***

## b
GaP2WO | GGA+U | relaxed

Lattice parameters (Å, degrees): 4.8905 4.8905 3.5508 90.00 90.00 90.00
Last column: nearest neighbours and their distance in Å.
Space group P4/mmm (No. 123)
One atom of each set of equivalent atoms:
Ga 0.0000 0.0000 0.0000 (multiplicity 1)  2 O 1.78
P 0.0000 0.5000 0.0000 (multiplicity 2)  2 Ga 2.45
W 0.5000 0.5000 0.5000 (multiplicity 1)  8 P 3.02
O 0.0000 0.0000 0.5000 (multiplicity 1)  2 Ga 1.78

DOS(E_F) = 3.8 states/eV/f.u.

***

Which of them is the least stable? Correct choice: b.